VASP calculation (PBE-GGA) on crystalline Cd2NiHg2 at its relaxed geometry.

D(E_F): 4.79 states/eV per cell
E_tot: -1.3774 eV per atom
ΔE_f: 1.33 eV/f.u.
Volume: 21.9 Å³/atom
Polymorph energy (0 for the lowest one): 0.000 eV/atom

Structure (CIF):
```
data_Cd2NiHg2
_chemical_formula_sum 'Cd4 Ni2 Hg4'
_cell_length_a 6.9634
_cell_length_b 6.9634
_cell_length_c 4.5187
_cell_angle_alpha 90.00
_cell_angle_beta 90.00
_cell_angle_gamma 90.00
_space_group_name_H-M_alt 'P 4/m b m'
_space_group_IT_number 127
_space_group_name_Hall '-P 4 2ab'
loop_
_atom_site_label
_atom_site_fract_x
_atom_site_fract_y
_atom_site_fract_z
_atom_site_occupancy
Cd1 0.1584 0.3416 0.0000 1
Ni1 0.0000 0.0000 0.5000 1
Hg1 0.1576 0.6576 0.5000 1
```